# Zr4Ag5 | Alexandria via LeMat-Bulk | GGA-PBE | relaxed
# E_form (meV per atom): -3
# Density (g/cm3): 8.19
# Calculated total energy (eV per atom): -5.386
# Polymorph energy (0 for the lowest one) (eV per atom): 0.000
data_Zr4Ag5
_chemical_formula_sum 'Zr4 Ag5'
_symmetry_space_group_name_H-M 'P 1'
_symmetry_Int_Tables_number 1
_cell_length_a 9.0609
_cell_length_b 9.0609
_cell_length_c 6.7852
_cell_angle_alpha 48.11
_cell_angle_beta 48.11
_cell_angle_gamma 90.00
loop_
_symmetry_equiv_pos_as_xyz
'x,y,z'
loop_
_atom_site_label
_atom_site_type_symbol
_atom_site_fract_x
_atom_site_fract_y
_atom_site_fract_z
Ag1 Ag 0.6670 0.6670 0.0000
Ag2 Ag 0.3330 0.3330 0.0000
Ag3 Ag 0.6670 0.3330 0.0000
Ag4 Ag 0.3330 0.6670 0.0000
Ag5 Ag 0.0000 0.0000 0.0000
Zr1 Zr 0.0000 0.3300 0.0000
Zr2 Zr 0.6700 0.0000 0.0000
Zr3 Zr 0.3300 0.0000 0.0000
Zr4 Zr 0.0000 0.6700 0.0000

# ZrTaTc2 | Alexandria via LeMat-Bulk | GGA-PBE | relaxed
# E_form (meV per atom): -439
# Density (g/cm3): 11.46
# Calculated total energy (eV per atom): -10.722
data_ZrTaTc2
_chemical_formula_sum 'Zr1 Ta1 Tc2'
_symmetry_space_group_name_H-M 'P 1'
_symmetry_Int_Tables_number 1
_cell_length_a 4.5772
_cell_length_b 4.5772
_cell_length_c 4.5772
_cell_angle_alpha 60.00
_cell_angle_beta 60.00
_cell_angle_gamma 60.00
loop_
_symmetry_equiv_pos_as_xyz
'x,y,z'
loop_
_atom_site_label
_atom_site_type_symbol
_atom_site_fract_x
_atom_site_fract_y
_atom_site_fract_z
Ta1 Ta 0.2500 0.2500 0.2500
Zr1 Zr 0.7500 0.7500 0.7500
Tc1 Tc 0.0000 0.0000 0.0000
Tc2 Tc 0.5000 0.5000 0.5000

# Pr2YTmSe4 | Alexandria via LeMat-Bulk | GGA-PBE | relaxed
# Uncorrected formation energy (eV per atom): -1.788
# Density (g/cm3): 6.98
# Calculated total energy (eV per atom): -6.092
data_Pr2YTmSe4
_chemical_formula_sum 'Pr2 Y1 Tm1 Se4'
_symmetry_space_group_name_H-M 'P 1'
_symmetry_Int_Tables_number 1
_cell_length_a 4.0754
_cell_length_b 7.1039
_cell_length_c 7.4137
_cell_angle_alpha 108.44
_cell_angle_beta 90.00
_cell_angle_gamma 90.00
loop_
_symmetry_equiv_pos_as_xyz
'x,y,z'
loop_
_atom_site_label
_atom_site_type_symbol
_atom_site_fract_x
_atom_site_fract_y
_atom_site_fract_z
Pr1 Pr 0.5000 0.0000 0.5000
Pr2 Pr 0.0000 0.5000 0.5000
Se1 Se 0.0000 0.7393 0.2285
Se2 Se 0.5000 0.7533 0.7693
Se3 Se 0.0000 0.2607 0.7715
Se4 Se 0.5000 0.2467 0.2307
Y1 Y 0.0000 0.0000 0.0000
Tm1 Tm 0.5000 0.5000 0.0000

Question: Number 3 is which compound?
Answer: Pr2YTmSe4